Record 1
! PBE-GGA NpCF, relaxed; values from VASP
! Mass density   7893 kg/m3
! Final energy   -26.38 eV/cell
! Space group   P3m1
! Energy above the lowest structure with this stoichiometry   216.6 meV/atom
! Raw formation energy   -0.781 eV per atom
&SYSTEM
  ibrav = 0, nat = 3, ntyp = 3
/
ATOMIC_SPECIES
Np 237.00 Np.upf
C 12.01 C.upf
F 19.00 F.upf
CELL_PARAMETERS angstrom
3.597 0.000 0.000
-1.798 3.115 0.000
0.000 0.000 5.032
ATOMIC_POSITIONS crystal
Np 0.000 0.000 0.000
C 0.333 0.667 0.155
F 0.667 0.333 0.761

---

Record 2
! PBE-GGA NpCF, relaxed; values from VASP
! Mass density   11272 kg/m3
! Final energy   -54.06 eV/cell
! Space group   Cmcm
! Energy above the lowest structure with this stoichiometry   0.0 meV/atom
! Raw formation energy   -0.998 eV per atom
&SYSTEM
  ibrav = 0, nat = 6, ntyp = 3
/
ATOMIC_SPECIES
Np 237.00 Np.upf
C 12.01 C.upf
F 19.00 F.upf
CELL_PARAMETERS angstrom
1.549 -6.738 0.000
1.549 6.738 0.000
0.000 0.000 3.784
ATOMIC_POSITIONS crystal
Np 0.111 0.889 0.750
Np 0.889 0.111 0.250
C 0.500 0.500 0.000
C 0.500 0.500 0.500
F 0.301 0.699 0.750
F 0.699 0.301 0.250

---

Record 3
! PBE-GGA NpCF, relaxed; values from VASP
! Mass density   8505 kg/m3
! Final energy   -26.20 eV/cell
! Space group   I4mm
! Energy above the lowest structure with this stoichiometry   277.3 meV/atom
! Raw formation energy   -0.720 eV per atom
&SYSTEM
  ibrav = 0, nat = 3, ntyp = 3
/
ATOMIC_SPECIES
Np 237.00 Np.upf
C 12.01 C.upf
F 19.00 F.upf
CELL_PARAMETERS angstrom
-1.632 1.632 4.910
1.632 -1.632 4.910
1.632 1.632 -4.910
ATOMIC_POSITIONS crystal
Np 0.000 0.000 0.000
C 0.505 0.505 0.000
F 0.214 0.214 0.000

---

Record 4
! PBE-GGA OsCOF2, relaxed; values from VASP
! Mass density   5719 kg/m3
! Final energy   -23.22 eV/cell
! Space group   P4/mmm
! Energy above the lowest structure with this stoichiometry   559.8 meV/atom
! Raw formation energy   1.186 eV per atom
&SYSTEM
  ibrav = 0, nat = 5, ntyp = 4
/
ATOMIC_SPECIES
Os 190.23 Os.upf
C 12.01 C.upf
O 16.00 O.upf
F 19.00 F.upf
CELL_PARAMETERS angstrom
3.196 0.000 0.000
0.000 3.196 0.000
0.000 0.000 7.286
ATOMIC_POSITIONS crystal
Os 0.000 0.000 0.000
C 0.500 0.500 0.500
O 0.500 0.500 0.000
F 0.000 0.500 0.500
F 0.500 0.000 0.500